Entry 1:
First-principles (GGA-PBE) data for a relaxed La3BiPb crystal, as listed in Alexandria via LeMat-Bulk.

Lattice parameters (Å, degrees): 6.0707 6.0707 6.0707 90.00 90.00 90.00
Last column: nearest neighbours and their distance in Å.
Fractional positions:
Pb 0.5000 0.5000 0.5000  12 La 4.29
Bi 0.0000 0.0000 0.0000  6 La 3.04
La 0.0000 0.5000 0.0000  2 Bi 3.04
La 0.0000 0.0000 0.5000  2 Bi 3.04
La 0.5000 0.0000 0.0000  2 Bi 3.04

Summary:
Fermi-level density of states ... 0.9874 states/eV/atom
Volume ... 44.75 A^3/atom
Crystal system ... cubic
Symmetry ... Pm-3m, No. 221
Total DFT energy (no corrections) ... -4.557 eV per atom

***

Entry 2:
First-principles (GGA-PBE) data for a relaxed La3Bi3Pb crystal, as listed in Alexandria via LeMat-Bulk.

Lattice parameters (Å, degrees): 6.4248 9.9003 9.9003 120.00 90.00 90.00
Last column: nearest neighbours and their distance in Å.
Fractional positions:
La 0.7500 0.6741 0.6123  5 Bi 3.19-3.49
La 0.7500 0.3877 0.0618  5 Bi 3.19-3.49
La 0.7500 0.9382 0.3259  5 Bi 3.19-3.49
La 0.2500 0.3259 0.3877  5 Bi 3.19-3.49
La 0.2500 0.6123 0.9382  5 Bi 3.19-3.49
La 0.2500 0.0618 0.6741  5 Bi 3.19-3.49
Bi 0.2500 0.7165 0.6810  5 La 3.19-3.49, 1 Pb 3.22
Bi 0.2500 0.3190 0.0355  5 La 3.19-3.49, 1 Pb 3.22
Bi 0.2500 0.9645 0.2835  5 La 3.19-3.49, 1 Pb 3.22
Bi 0.7500 0.2835 0.3190  5 La 3.19-3.49, 1 Pb 3.22
Bi 0.7500 0.6810 0.9645  5 La 3.19-3.49, 1 Pb 3.22
Bi 0.7500 0.0355 0.7165  5 La 3.19-3.49, 1 Pb 3.22
Pb 0.2500 0.6667 0.3333  3 Bi 3.22
Pb 0.7500 0.3333 0.6667  3 Bi 3.22

Summary:
Fermi-level density of states ... 0.2920 states/eV/atom
Volume ... 38.96 A^3/atom
Crystal system ... hexagonal
Symmetry ... P6_3/m, No. 176
Total DFT energy (no corrections) ... -4.950 eV per atom

***

Entry 3:
First-principles (GGA-PBE) data for a relaxed La2BiPb crystal, as listed in Alexandria via LeMat-Bulk.

Lattice parameters (Å, degrees): 5.7108 5.7108 5.7108 60.00 60.00 60.00
Last column: nearest neighbours and their distance in Å.
Fractional positions:
Pb 0.0000 0.0000 0.0000  8 La 3.50
Bi 0.5000 0.5000 0.5000  8 La 3.50
La 0.2500 0.2500 0.2500  4 Pb 3.50, 4 Bi 3.50
La 0.7500 0.7500 0.7500  4 Pb 3.50, 4 Bi 3.50

Summary:
Fermi-level density of states ... 1.8688 states/eV/atom
Volume ... 32.92 A^3/atom
Crystal system ... cubic
Symmetry ... Fm-3m, No. 225
Total DFT energy (no corrections) ... -4.991 eV per atom

***

Entry 4:
First-principles (GGA-PBE) data for a relaxed La5BiPb2 crystal, as listed in Alexandria via LeMat-Bulk.

Lattice parameters (Å, degrees): 4.8884 8.7445 13.2917 90.00 90.00 90.00
Last column: nearest neighbours and their distance in Å.
Fractional positions:
La 0.0000 0.0000 0.5000  4 Pb 3.44, 4 La 3.60
La 0.0000 0.5000 0.0000  4 Pb 3.44, 4 La 3.60
La 0.0000 0.8474 0.2190  1 Bi 3.20, 4 Pb 3.42-3.49
La 0.0000 0.1526 0.7810  1 Bi 3.20, 4 Pb 3.42-3.49
La 0.0000 0.6526 0.7190  1 Bi 3.20, 4 Pb 3.42-3.49
La 0.0000 0.3474 0.2810  1 Bi 3.20, 4 Pb 3.42-3.49
La 0.5000 0.7186 0.4274  2 Bi 3.25, 2 Pb 3.45-3.57, 2 La 3.60
La 0.5000 0.2814 0.5726  2 Bi 3.25, 2 Pb 3.45-3.57, 2 La 3.60
La 0.5000 0.7814 0.9274  2 Bi 3.25, 2 Pb 3.45-3.57, 2 La 3.60
La 0.5000 0.2186 0.0726  2 Bi 3.25, 2 Pb 3.45-3.57, 2 La 3.60
Bi 0.0000 0.5000 0.5000  6 La 3.20-3.25
Bi 0.0000 0.0000 0.0000  6 La 3.20-3.25
Pb 0.5000 0.5821 0.1740  9 La 3.42-3.71
Pb 0.5000 0.4179 0.8260  9 La 3.42-3.71
Pb 0.5000 0.9179 0.6740  9 La 3.42-3.71
Pb 0.5000 0.0821 0.3260  9 La 3.42-3.71

Summary:
Fermi-level density of states ... 1.2354 states/eV/atom
Volume ... 35.51 A^3/atom
Crystal system ... orthorhombic
Symmetry ... Pbam, No. 55
Total DFT energy (no corrections) ... -5.099 eV per atom

***

Entry 5:
First-principles (GGA-PBE) data for a relaxed La2Bi2Pb crystal, as listed in Alexandria via LeMat-Bulk.

Lattice parameters (Å, degrees): 6.3245 6.3245 6.5584 61.17 61.17 90.00
Last column: nearest neighbours and their distance in Å.
Fractional positions:
Pb 0.0000 0.0000 0.0000  2 Bi 3.20
Bi 0.3334 0.3334 0.3332  1 Bi 3.20, 1 Pb 3.20, 4 La 3.26
Bi 0.6666 0.6666 0.6668  1 Bi 3.20, 1 Pb 3.20, 4 La 3.26
La 0.7500 0.2500 0.5000  4 Bi 3.26
La 0.2500 0.7500 0.5000  4 Bi 3.26

Summary:
Fermi-level density of states ... 0.8824 states/eV/atom
Volume ... 38.38 A^3/atom
Crystal system ... tetragonal
Symmetry ... I4/mmm, No. 139
Total DFT energy (no corrections) ... -4.700 eV per atom

***

Entry 6:
First-principles (GGA-PBE) data for a relaxed LaBi3Pb3 crystal, as listed in Alexandria via LeMat-Bulk.

Lattice parameters (Å, degrees): 7.0512 7.0512 9.6596 90.02 90.02 87.57
Last column: nearest neighbours and their distance in Å.
Fractional positions:
La 0.2422 0.2422 0.9998  6 Bi 3.44-3.49, 4 Pb 3.51-3.55
La 0.7578 0.7578 0.0002  6 Bi 3.44-3.49, 4 Pb 3.51-3.55
Bi 0.9997 0.9997 0.7445  6 Pb 3.48-3.55, 2 La 3.49, 4 Bi 3.52-3.53
Bi 0.4999 0.0003 0.2502  6 Pb 3.43-3.51, 2 La 3.44, 2 Bi 3.52-3.53
Bi 0.0003 0.4999 0.2502  6 Pb 3.43-3.51, 2 La 3.44, 2 Bi 3.52-3.53
Bi 0.5001 0.9997 0.7498  6 Pb 3.43-3.51, 2 La 3.44, 2 Bi 3.52-3.53
Bi 0.9997 0.5001 0.7498  6 Pb 3.43-3.51, 2 La 3.44, 2 Bi 3.52-3.53
Bi 0.0003 0.0003 0.2555  6 Pb 3.48-3.55, 2 La 3.49, 4 Bi 3.52-3.53
Pb 0.2538 0.2538 0.5007  4 Pb 3.42-3.64, 6 Bi 3.43-3.50
Pb 0.2622 0.7378 0.5000  4 Pb 3.42-3.64, 6 Bi 3.48-3.51
Pb 0.7378 0.2622 0.5000  4 Pb 3.42-3.64, 6 Bi 3.48-3.51
Pb 0.2614 0.7386 0.0000  4 La 3.51-3.55, 6 Bi 3.51-3.55
Pb 0.7386 0.2614 0.0000  4 La 3.51-3.55, 6 Bi 3.51-3.55
Pb 0.7462 0.7462 0.4993  4 Pb 3.42-3.64, 6 Bi 3.43-3.50

Summary:
Fermi-level density of states ... 0.4431 states/eV/atom
Volume ... 34.27 A^3/atom
Crystal system ... monoclinic
Symmetry ... C2/m, No. 12
Total DFT energy (no corrections) ... -4.161 eV per atom

***

Entry 7:
First-principles (GGA-PBE) data for a relaxed La6BiPb2 crystal, as listed in Alexandria via LeMat-Bulk.

Lattice parameters (Å, degrees): 3.4238 9.6829 9.6829 120.00 90.00 90.00
Last column: nearest neighbours and their distance in Å.
Fractional positions:
La 0.5000 0.3360 0.3360  5 La 3.18-3.42
La 0.5000 0.6640 0.6640  5 La 3.18-3.42
La 0.5000 0.0000 0.6640  5 La 3.18-3.42
La 0.5000 0.6640 0.0000  5 La 3.18-3.42
La 0.5000 0.3360 0.0000  5 La 3.18-3.42
La 0.5000 0.0000 0.3360  5 La 3.18-3.42
Bi 0.0000 0.0000 0.0000  2 Bi 3.42, 12 La 3.68
Pb 0.0000 0.3333 0.6667  2 Pb 3.42, 12 La 3.64
Pb 0.0000 0.6667 0.3333  2 Pb 3.42, 12 La 3.64

Summary:
Fermi-level density of states ... 1.5661 states/eV/atom
Volume ... 30.89 A^3/atom
Crystal system ... hexagonal
Symmetry ... P6/mmm, No. 191
Total DFT energy (no corrections) ... -4.780 eV per atom

***

Entry 8:
First-principles (GGA-PBE) data for a relaxed LaBi6Pb5 crystal, as listed in Alexandria via LeMat-Bulk.

Lattice parameters (Å, degrees): 4.7140 9.7518 9.7516 109.60 103.76 103.76
Last column: nearest neighbours and their distance in Å.
Fractional positions:
Pb 0.5000 0.1670 0.8330  2 Pb 3.45, 8 Bi 3.47-3.76, 2 La 3.56
Pb 0.0000 0.3252 0.6748  4 Pb 3.45-3.65, 8 Bi 3.48-3.78
Pb 0.5000 0.5000 0.5000  8 Bi 3.46-3.64, 4 Pb 3.65
Pb 0.0000 0.6748 0.3252  4 Pb 3.45-3.65, 8 Bi 3.48-3.78
Pb 0.5000 0.8330 0.1670  2 Pb 3.45, 8 Bi 3.47-3.76, 2 La 3.56
Bi 0.2455 0.0873 0.4095  7 Pb 3.47-3.76, 4 Bi 3.48-3.70, 1 La 3.61
Bi 0.7545 0.5905 0.9127  7 Pb 3.47-3.76, 4 Bi 3.48-3.70, 1 La 3.61
Bi 0.7501 0.2509 0.2509  6 Pb 3.46-3.78, 2 La 3.48-3.50, 4 Bi 3.48-3.49
Bi 0.2499 0.7491 0.7491  6 Pb 3.46-3.78, 2 La 3.48-3.50, 4 Bi 3.48-3.49
Bi 0.2455 0.4095 0.0873  7 Pb 3.47-3.76, 4 Bi 3.48-3.70, 1 La 3.61
Bi 0.7545 0.9127 0.5905  7 Pb 3.47-3.76, 4 Bi 3.48-3.70, 1 La 3.61
La 0.0000 0.0000 0.0000  8 Bi 3.48-3.61, 4 Pb 3.56

Summary:
Fermi-level density of states ... 0.6390 states/eV/atom
Volume ... 32.06 A^3/atom
Crystal system ... monoclinic
Symmetry ... C2/m, No. 12
Total DFT energy (no corrections) ... -4.014 eV per atom